1.
InSbBr2 | meta-GGA SCAN | single point on PBEsol structure

The calculated density comes out at 6.3 Mg/m³. The crystal system is orthorhombic. As for the raw formation energy: -0.022 eV per atom.

The space group is Pmmm (No. 47) and the conventional cell measures 3.418, 4.493 and 6.789 Å, with angles of 90.00, 90.00 and 90.00 degrees. The asymmetric unit holds In at (0.000, 0.000, 0.000), Sb at (0.000, 0.000, 0.500) and Br at (0.500, 0.500, 0.257).


2.
SrIrAu2 | meta-GGA SCAN | single point on PBEsol structure

The calculated density comes out at 14.9 Mg/m³. The crystal system is tetragonal. The electronic total energy is -231.956 eV/cell.

The space group is P4/mmm (No. 123) and the conventional cell measures 4.302, 4.302 and 4.067 Å, with angles of 90.00, 90.00 and 90.00 degrees. The asymmetric unit holds Sr at (0.000, 0.000, 0.000), Ir at (0.500, 0.500, 0.000) and Au at (0.000, 0.500, 0.500).


3.
Li2AlMo | meta-GGA SCAN | single point on PBEsol structure

The calculated density comes out at 3.9 Mg/m³. The crystal system is tetragonal. The electronic total energy is -92.711 eV/cell.

The space group is I-4m2 (No. 119) and the conventional cell measures 4.367, 4.367 and 6.105 Å, with angles of 90.00, 90.00 and 90.00 degrees. The asymmetric unit holds Li at (0.000, 0.000, 0.000), Li at (0.000, 0.500, 0.250), Al at (0.000, 0.000, 0.500) and Mo at (0.000, 0.500, 0.750).


4.
NaNbCu2S4 | meta-GGA SCAN | single point on PBEsol structure

The calculated density comes out at 3.5 Mg/m³. The crystal system is orthorhombic. As for the raw formation energy: -0.853 eV per atom.

The space group is Ama2 (No. 40) and the conventional cell measures 7.321, 17.754 and 5.460 Å, with angles of 90.00, 90.00 and 90.00 degrees. The asymmetric unit holds Na at (0.250, 0.172, 0.000), Nb at (0.250, 0.386, 0.373), Cu at (0.000, 0.000, 0.854), Cu at (0.250, 0.393, 0.872), S at (0.003, 0.107, 0.622), S at (0.250, 0.286, 0.634) and S at (0.250, 0.495, 0.612).


5.
TiAs | meta-GGA SCAN | single point on PBEsol structure

The calculated density comes out at 6.0 Mg/m³. The crystal system is hexagonal. The electronic total energy is -76.461 eV/cell.

The space group is P6_3/mmc (No. 194) and the conventional cell measures 3.5953, 3.5953 and 6.1075 Å, with angles of 90.00, 90.00 and 120.00 degrees. The asymmetric unit holds Ti at (0.0000, 0.0000, 0.0000) and As at (0.3333, 0.6667, 0.2500).


6.
Rb2PH4Se3O2 | meta-GGA SCAN | single point on PBEsol structure

The calculated density comes out at 3.5 Mg/m³. The crystal system is orthorhombic. The electronic total energy is -601.950 eV/cell.

The space group is Pnnm (No. 58) and the conventional cell measures 9.763, 12.262 and 7.450 Å, with angles of 90.00, 90.00 and 90.00 degrees. The asymmetric unit holds Rb at (0.000, 0.000, 0.000), Rb at (0.000, 0.000, 0.500), Rb at (0.115, 0.331, 0.000), P at (0.116, 0.493, 0.500), H at (0.059, 0.759, 0.308), H at (0.165, 0.820, 0.184), Se at (0.148, 0.314, 0.500), Se at (0.189, 0.571, 0.255) and O at (0.078, 0.831, 0.251).


7.
LaTcHg | meta-GGA SCAN | single point on PBEsol structure

The calculated density comes out at 9.3 Mg/m³. The crystal system is cubic. The electronic total energy is -578.615 eV/cell.

The space group is F-43m (No. 216) and the conventional cell measures 6.778, 6.778 and 6.778 Å, with angles of 90.00, 90.00 and 90.00 degrees. The asymmetric unit holds La at (0.000, 0.000, 0.000), Tc at (0.000, 0.000, 0.500) and Hg at (0.250, 0.250, 0.250).


8.
YMg2Cu2 | meta-GGA SCAN | single point on PBEsol structure

The calculated density comes out at 4.5 Mg/m³. The crystal system is monoclinic. The electronic total energy is -138.032 eV/cell.

The space group is C2/m (No. 12) and the conventional cell measures 8.035, 4.702 and 5.176 Å, with angles of 90.00, 90.38 and 90.00 degrees. The asymmetric unit holds Y at (0.000, 0.000, 0.000), Mg at (0.168, 0.500, 0.372) and Cu at (0.164, 0.500, 0.874).


Question: calculated density of number 6 (Rb2PH4Se3O2)?
Answer: 3.5 Mg/m³


Question: Which value of calculated density does entry 8 give?
Answer: 4.5 Mg/m³


Question: calculated density of number 7 (LaTcHg)?
Answer: 9.3 Mg/m³